# NaFeNF2

A relaxed structure of NaFeNF2 (PBE+U, the Alexandria database).

Values from the calculation:
Energy above the lowest structure with this stoichiometry = 0.00 kcal/mol of atoms
Spin magnetization = 4.00 μB per formula unit
Density of states at the Fermi level = 2.45 states/eV per cell
Total energy = -4.94 eV/atom

Structure (POSCAR):
```
NaFeNF2
1.0
4.133 0.000 0.000
0.000 4.133 0.000
0.000 0.000 3.768
Na Fe N F
1 1 1 2
Direct
0.000 0.000 0.000
0.500 0.500 0.500
0.500 0.500 0.000
0.000 0.500 0.500
0.500 0.000 0.500
```